1.
A relaxed structure of Cs2PuUS6, computed with PBE.

* formation energy from raw total energies: -1.323 eV/atom

Cell: 7.5733 7.5733 38.1082 Å, 90.00 90.00 120.00°
Space group R-3m (No. 166, hexagonal axes)
Asymmetric unit:
Cs 0.0000 0.0000 0.1261 x6
Cs 0.0000 0.0000 0.2879 x6
Pu 0.0000 0.0000 0.4082 x6
U 0.0000 0.0000 0.0000 x3
U 0.0000 0.0000 0.5000 x3
S 0.0112 0.5056 0.7049 x18
S 0.0332 0.5166 0.1233 x18

2.
A relaxed structure of MnAsPdSe2, computed with PBE.

* formation energy from raw total energies: 0.404 eV/atom
* energy above the most stable polymorph in this dataset: 0 meV/atom

Cell: 4.754 4.754 4.596 Å, 90.00 90.00 90.00°
Space group P4/mmm (No. 123)
Asymmetric unit:
Mn 0.000 0.000 0.000 x1
As 0.000 0.000 0.500 x1
Pd 0.500 0.500 0.500 x1
Se 0.000 0.500 0.000 x2

3.
A relaxed structure of InWI2N, computed with PBE.

* formation energy from raw total energies: 0.232 eV/atom
* energy above the most stable polymorph in this dataset: 0 meV/atom

Cell: 5.924 5.924 3.863 Å, 90.00 90.00 90.00°
Space group P4/mmm (No. 123)
Asymmetric unit:
In 0.000 0.000 0.000 x1
W 0.500 0.500 0.500 x1
I 0.000 0.500 0.500 x2
N 0.500 0.500 0.000 x1

4.
A relaxed structure of TlPF3, computed with PBE.

* formation energy from raw total energies: -1.292 eV/atom
* energy above the most stable polymorph in this dataset: 0 meV/atom

Cell: 4.359 4.359 4.359 Å, 90.00 90.00 90.00°
Space group Pm-3m (No. 221)
Asymmetric unit:
Tl 0.000 0.000 0.000 x1
P 0.500 0.500 0.500 x1
F 0.000 0.500 0.500 x3

5.
A relaxed structure of AlP2Cl, computed with PBE.

* formation energy from raw total energies: 0.179 eV/atom
* energy above the most stable polymorph in this dataset: 480 meV/atom

Cell: 3.029 4.372 10.270 Å, 90.00 90.00 90.00°
Space group Immm (No. 71)
Asymmetric unit:
Al 0.000 0.000 0.000 x2
P 0.000 0.500 0.288 x4
Cl 0.000 0.000 0.500 x2

6.
A relaxed structure of Ag4SClF, computed with PBE.

* formation energy from raw total energies: -0.350 eV/atom

Cell: 6.550 6.015 7.667 Å, 90.00 112.56 90.00°
Space group P2_1/m (No. 11)
Asymmetric unit:
Ag 0.109 0.013 0.207 x4
Ag 0.219 0.250 0.583 x2
Ag 0.340 0.750 0.935 x2
S 0.236 0.250 0.984 x2
Cl 0.192 0.750 0.558 x2
F 0.421 0.750 0.274 x2

7.
A relaxed structure of Li2BeOs, computed with PBE.

* energy relative to the elements: 500 meV/atom

Cell: 4.315 4.315 2.568 Å, 90.00 90.00 90.00°
Space group P4/mmm (No. 123)
Asymmetric unit:
Li 0.000 0.500 0.000 x2
Be 0.000 0.000 0.500 x1
Os 0.500 0.500 0.500 x1

8.
A relaxed structure of InClF, computed with PBE.

* formation energy from raw total energies: -1.636 eV/atom

Cell: 10.727 3.777 7.170 Å, 90.00 94.43 90.00°
Space group C2/m (No. 12)
Asymmetric unit:
In 0.118 0.000 0.096 x4
Cl 0.135 0.500 0.340 x4
F 0.181 0.500 0.912 x4

9.
A relaxed structure of Tm2InPt6, computed with PBE.

* energy relative to the elements: -731 meV/atom

Cell: 12.286 8.181 3.943 Å, 90.00 108.62 90.00°
Space group C2/m (No. 12)
Asymmetric unit:
Tm 0.162 0.000 0.163 x4
In 0.000 0.500 0.500 x2
Pt 0.000 0.261 0.000 x4
Pt 0.166 0.254 0.666 x8

10.
A relaxed structure of Sr2RuRhO8, computed with PBE.

* formation energy from raw total energies: -1.400 eV/atom

Cell: 5.323 6.118 6.186 Å, 76.31 69.85 74.79°
Space group P-1 (No. 2)
Asymmetric unit:
Sr 0.113 0.182 0.164 x2
Ru 0.500 0.500 0.500 x1
Rh 0.500 0.000 0.500 x1
O 0.272 0.811 0.442 x2
O 0.286 0.468 0.802 x2
O 0.292 0.321 0.427 x2
O 0.297 0.975 0.820 x2

11.
A relaxed structure of Tb2HoP3Rh12, computed with PBE.

* energy relative to the elements: -409 meV/atom

Cell: 8.9563 8.9563 12.8203 Å, 90.00 90.00 120.00°
Space group R-3m (No. 166, hexagonal axes)
Asymmetric unit:
Tb 0.0000 0.0000 0.1280 x6
Ho 0.0000 0.0000 0.5000 x3
P 0.0000 0.5000 0.0000 x9
Rh 0.0106 0.5053 0.8261 x18
Rh 0.0258 0.5129 0.3821 x18

12.
A relaxed structure of TaRu2W, computed with PBE.

* energy relative to the elements: -72 meV/atom
* energy above the most stable polymorph in this dataset: 5 meV/atom

Cell: 5.834 5.850 7.288 Å, 90.00 90.00 90.00°
Space group Fmmm (No. 69)
Asymmetric unit:
Ta 0.000 0.000 0.000 x4
Ru 0.250 0.250 0.250 x8
W 0.000 0.000 0.500 x4

What did we get for total magnetic moment? Answer: 4.00, 2.19, 1.02, 0.00, 0.00, 0.00, 0.00, 0.00, 0.00, 1.74, 0.00, 0.00 μB per formula unit, in the order shown.
What did we get for E? Answer: -6.533, -4.792, -5.191, -3.970, -3.923, -3.100, -4.196, -3.788, -6.056, -6.371, -6.980, -10.911 eV per atom, in the order shown.
What did we get for N(E_F)? Answer: 1.29, 0.78, 0.50, 0.39, 0.37, 0.21, 0.84, 0.00, 0.50, 0.48, 0.92, 1.17 states/eV per atom, in the order shown.